DFT (PBE-GGA) results for AsBr3 after structural relaxation. Values from VASP.

```
&SYSTEM
  ibrav = 0, nat = 4, ntyp = 2
/
ATOMIC_SPECIES
As 74.92 As.upf
Br 79.90 Br.upf
ATOMIC_POSITIONS crystal
As 0.000 0.000 0.000
Br 0.288 0.641 0.647
Br 0.718 0.218 0.500
Br 0.993 0.641 0.353
CELL_PARAMETERS angstrom
-1.788 5.978 3.615
1.788 -5.978 3.615
1.788 5.978 -3.615
```

Properties
M_tot: 0.0 μB per cell
Space group: No. 44
Final energy: -2.71 eV/atom
ΔE_f (raw): -0.29 eV/atom
Fermi-level density of states: 0.000 states/eV per atom
V: 38.64 Å³ per atom